SmEr3Se6 | OQMD | PBE | optimized geometry; E = -58.057 eV per formula unit
1.0
-1.9794 1.5727 11.2177
-3.1304 -2.6250 -0.1844
7.5718 -8.9331 -1.3746
Er Se Sm
6 12 2
Cartesian
-1.1339 -0.3801 1.9878
-0.1130 -2.1604 10.0014
0.1210 -5.1412 3.1132
2.3410 -4.8442 6.5456
2.5751 -7.8250 -0.3427
3.5960 -9.6053 7.6709
-2.8490 -1.6703 4.1226
-1.8537 -0.1403 10.7950
-2.1446 -2.7873 8.0671
0.5077 -2.4106 3.0243
-0.4431 -4.6609 5.8523
0.7721 -5.7304 0.4481
1.6900 -4.2550 9.2106
2.9051 -5.3245 3.8064
1.9543 -7.5748 6.6345
4.6067 -7.1981 1.5916
4.3157 -9.8451 -1.1362
5.3110 -8.3151 5.5361
-0.3872 -1.5397 5.8188
2.8492 -8.4457 3.8399